[1]
# ScMn2W (PBE-GGA, relaxed)
data_ScMn2W
_chemical_formula_sum 'Sc1 Mn2 W1'
_cell_length_a 2.756
_cell_length_b 4.324
_cell_length_c 5.000
_cell_angle_alpha 90.00
_cell_angle_beta 101.16
_cell_angle_gamma 90.00
_symmetry_space_group_name_H-M 'P 1 m 1'
_symmetry_Int_Tables_number 6
loop_
_symmetry_equiv_pos_as_xyz
'x,y,z'
'x,-y,z'
loop_
_atom_site_label
_atom_site_type_symbol
_atom_site_fract_x
_atom_site_fract_y
_atom_site_fract_z
_atom_site_occupancy
Sc1 Sc 0.000 0.000 0.000 1
Mn1 Mn 0.280 0.500 0.775 1
Mn2 Mn 0.495 0.000 0.510 1
W1 W 0.724 0.500 0.292 1
# E_tot	-9.18	eV/atom

[2]
# Sc2Mn2W (PBE-GGA, relaxed)
data_Sc2Mn2W
_chemical_formula_sum 'Sc4 Mn4 W2'
_cell_length_a 6.117
_cell_length_b 6.117
_cell_length_c 4.460
_cell_angle_alpha 90.00
_cell_angle_beta 90.00
_cell_angle_gamma 90.00
_symmetry_space_group_name_H-M 'P 4/m b m'
_symmetry_Int_Tables_number 127
_symmetry_space_group_name_Hall '-P 4 2ab'
loop_
_atom_site_label
_atom_site_type_symbol
_atom_site_fract_x
_atom_site_fract_y
_atom_site_fract_z
_atom_site_occupancy
Sc1 Sc 0.179 0.321 0.000 1
Mn1 Mn 0.123 0.623 0.500 1
W1 W 0.000 0.000 0.500 1
# E_tot	-8.71	eV/atom

[3]
# ScMn2W (PBE-GGA, relaxed)
data_ScMn2W
_chemical_formula_sum 'Sc1 Mn2 W1'
_cell_length_a 3.101
_cell_length_b 4.109
_cell_length_c 4.615
_cell_angle_alpha 90.00
_cell_angle_beta 90.00
_cell_angle_gamma 90.00
_symmetry_space_group_name_H-M 'P m m m'
_symmetry_Int_Tables_number 47
loop_
_symmetry_equiv_pos_as_xyz
'x,y,z'
'-x,-y,-z'
'-x,-y,z'
'x,y,-z'
'x,-y,-z'
'-x,y,z'
'-x,y,-z'
'x,-y,z'
loop_
_atom_site_label
_atom_site_type_symbol
_atom_site_fract_x
_atom_site_fract_y
_atom_site_fract_z
_atom_site_occupancy
Sc1 Sc 0.000 0.000 0.000 1
Mn1 Mn 0.000 0.500 0.500 1
Mn2 Mn 0.500 0.500 0.000 1
W1 W 0.500 0.000 0.500 1
# E_tot	-9.08	eV/atom

[4]
# ScMn2W (PBE-GGA, relaxed)
data_ScMn2W
_chemical_formula_sum 'Sc4 Mn8 W4'
_cell_length_a 6.154
_cell_length_b 6.154
_cell_length_c 6.154
_cell_angle_alpha 90.00
_cell_angle_beta 90.00
_cell_angle_gamma 90.00
_symmetry_space_group_name_H-M 'F -4 3 m'
_symmetry_Int_Tables_number 216
_symmetry_space_group_name_Hall 'F -4 2 3'
loop_
_atom_site_label
_atom_site_type_symbol
_atom_site_fract_x
_atom_site_fract_y
_atom_site_fract_z
_atom_site_occupancy
Sc1 Sc 0.000 0.000 0.000 1
Mn1 Mn 0.000 0.000 0.500 1
Mn2 Mn 0.250 0.250 0.250 1
W1 W 0.250 0.250 0.750 1
# E_tot	-9.11	eV/atom

[5]
# ScMnW3 (PBE-GGA, relaxed)
data_ScMnW3
_chemical_formula_sum 'Sc1 Mn1 W3'
_cell_length_a 4.533
_cell_length_b 4.533
_cell_length_c 4.533
_cell_angle_alpha 90.00
_cell_angle_beta 90.00
_cell_angle_gamma 90.00
_symmetry_space_group_name_H-M 'P m -3 m'
_symmetry_Int_Tables_number 221
_symmetry_space_group_name_Hall '-P 4 2 3'
loop_
_atom_site_label
_atom_site_type_symbol
_atom_site_fract_x
_atom_site_fract_y
_atom_site_fract_z
_atom_site_occupancy
Sc1 Sc 0.000 0.000 0.000 1
Mn1 Mn 0.500 0.500 0.500 1
W1 W 0.000 0.500 0.500 1
# E_tot	-9.85	eV/atom
# polymorph energy (0 for the lowest one)	0	meV/atom

[6]
# ScMn2W (PBE-GGA, relaxed)
data_ScMn2W
_chemical_formula_sum 'Sc1 Mn2 W1'
_cell_length_a 2.760
_cell_length_b 4.031
_cell_length_c 5.499
_cell_angle_alpha 90.00
_cell_angle_beta 101.28
_cell_angle_gamma 90.00
_symmetry_space_group_name_H-M 'P 1 2/m 1'
_symmetry_Int_Tables_number 10
loop_
_symmetry_equiv_pos_as_xyz
'x,y,z'
'-x,-y,-z'
'-x,y,-z'
'x,-y,z'
loop_
_atom_site_label
_atom_site_type_symbol
_atom_site_fract_x
_atom_site_fract_y
_atom_site_fract_z
_atom_site_occupancy
Sc1 Sc 0.000 0.000 0.000 1
Mn1 Mn 0.277 0.500 0.722 1
W1 W 0.500 0.000 0.500 1
# E_tot	-9.17	eV/atom

no.,formation enthalpy at 0 K (eV/atom)
1,0.2251
2,0.0843
3,0.3307
4,0.2966
5,1.0237
6,0.2401